Record 1
A relaxed structure of KNi4Pb, computed with GGA-PBE.

Values from the calculation:
Magnetization   0.026 μB/atom
VASP energy   -4.30 eV per atom
Symmetry   F-43m (216)
Calculated volume   15.84 Å³/atom

a b c (Å): 5.123 5.123 5.123
angles (deg): 60.00 60.00 60.00
Fractional positions:
K 0.000 0.000 0.000
Ni 0.871 0.376 0.376
Ni 0.376 0.376 0.871
Ni 0.376 0.871 0.376
Ni 0.376 0.376 0.376
Pb 0.750 0.750 0.750

=====

Record 2
A relaxed structure of Ba3La12Mg5, computed with GGA-PBE.

Values from the calculation:
Magnetization   0.223 μB/atom
VASP energy   -2.88 eV per atom
Symmetry   Ia-3d (230)
Calculated volume   45.93 Å³/atom

a b c (Å): 16.837 16.837 16.837
angles (deg): 109.47 109.47 109.47
Each line ends with the local moment (μB).
Fractional positions:
Ba 0.750 0.375 0.125  0.12
Ba 0.875 0.750 0.125  0.12
Ba 0.375 0.750 0.625  0.12
Ba 0.250 0.125 0.375  0.12
Ba 0.875 0.125 0.250  0.12
Ba 0.375 0.625 0.250  0.12
Ba 0.625 0.375 0.750  0.12
Ba 0.125 0.875 0.750  0.12
Ba 0.750 0.875 0.625  0.12
Ba 0.625 0.250 0.375  0.12
Ba 0.125 0.250 0.875  0.12
Ba 0.250 0.625 0.875  0.12
Mg 0.125 0.375 0.250  0.00
Mg 0.000 0.500 0.000  0.00
Mg 0.000 0.000 0.000  0.00
Mg 0.375 0.250 0.125  0.00
Mg 0.500 0.000 0.500  0.00
Mg 0.500 0.500 0.000  0.00
Mg 0.125 0.750 0.375  0.00
Mg 0.750 0.125 0.875  0.00
Mg 0.750 0.625 0.375  0.00
Mg 0.375 0.125 0.750  0.00
Mg 0.625 0.875 0.250  0.00
Mg 0.500 0.500 0.500  0.00
Mg 0.500 0.000 0.000  0.00
Mg 0.000 0.000 0.500  0.00
Mg 0.250 0.375 0.625  0.00
Mg 0.250 0.875 0.125  0.00
Mg 0.000 0.500 0.500  0.00
Mg 0.875 0.250 0.625  0.00
Mg 0.625 0.750 0.875  0.00
Mg 0.875 0.625 0.750  0.00
La 0.716 0.122 0.052  0.12
La 0.336 0.552 0.431  0.12
La 0.948 0.378 0.284  0.12
La 0.552 0.216 0.122  0.12
La 0.594 0.716 0.664  0.12
La 0.948 0.569 0.164  0.12
La 0.336 0.784 0.406  0.12
La 0.069 0.906 0.122  0.12
La 0.569 0.948 0.664  0.12
La 0.716 0.594 0.164  0.12
La 0.784 0.448 0.378  0.12
La 0.836 0.931 0.052  0.12
La 0.122 0.716 0.552  0.12
La 0.378 0.431 0.094  0.12
La 0.094 0.931 0.378  0.12
La 0.406 0.122 0.569  0.12
La 0.094 0.164 0.216  0.12
La 0.448 0.664 0.069  0.12
La 0.836 0.906 0.284  0.12
La 0.122 0.406 0.069  0.12
La 0.378 0.948 0.784  0.12
La 0.569 0.622 0.406  0.12
La 0.931 0.836 0.552  0.12
La 0.784 0.336 0.906  0.12
La 0.431 0.378 0.594  0.12
La 0.069 0.164 0.448  0.12
La 0.216 0.664 0.094  0.12
La 0.164 0.094 0.716  0.12
La 0.622 0.052 0.216  0.12
La 0.878 0.594 0.931  0.12
La 0.552 0.336 0.931  0.12
La 0.594 0.878 0.431  0.12
La 0.906 0.836 0.784  0.12
La 0.906 0.069 0.622  0.12
La 0.878 0.284 0.448  0.12
La 0.164 0.069 0.948  0.12
La 0.622 0.569 0.906  0.12
La 0.431 0.052 0.336  0.12
La 0.284 0.406 0.836  0.12
La 0.216 0.552 0.622  0.12
La 0.931 0.094 0.878  0.12
La 0.664 0.216 0.594  0.12
La 0.448 0.784 0.878  0.12
La 0.052 0.431 0.836  0.12
La 0.406 0.284 0.336  0.12
La 0.052 0.622 0.716  0.12
La 0.664 0.448 0.569  0.12
La 0.284 0.878 0.948  0.12

=====

Record 3
A relaxed structure of RbCaTeI2, computed with GGA-PBE.

Values from the calculation:
Magnetization   0.108 μB/atom
VASP energy   -2.14 eV per atom
Formation energy (no corrections)   -294.1 meV/atom
Symmetry   P4/mmm (123)
Calculated volume   51.69 Å³/atom

a b c (Å): 6.399 6.399 6.312
angles (deg): 90.00 90.00 90.00
Each line ends with the local moment (μB).
Fractional positions:
I 0.000 0.500 0.000  0.03
I 0.500 0.000 0.000  0.03
Ca 0.500 0.500 0.500  -0.01
Te 0.000 0.000 0.500  0.23
Rb 0.000 0.000 0.000  0.02

=====

Record 4
A relaxed structure of Ac4Pr3Nd2, computed with GGA-PBE.

Values from the calculation:
Magnetization   0.000 μB/atom
VASP energy   -4.45 eV per atom
Symmetry   P-1 (2)
Calculated volume   39.83 Å³/atom

a b c (Å): 5.461 6.587 11.475
angles (deg): 74.11 89.99 65.58
Fractional positions:
Ac 0.667 0.667 0.889
Ac 0.002 0.995 0.333
Ac 0.998 0.005 0.667
Ac 0.333 0.333 0.111
Pr 0.334 0.331 0.448
Pr 0.000 0.000 0.000
Pr 0.666 0.669 0.552
Nd 0.330 0.340 0.774
Nd 0.670 0.660 0.226

=====

Record 5
A relaxed structure of Ce2Si3AsPt4, computed with GGA-PBE.

Values from the calculation:
Magnetization   0.071 μB/atom
VASP energy   -6.71 eV per atom
Formation energy (no corrections)   -1019.9 meV/atom
Symmetry   P-4m2 (115)
Calculated volume   18.34 Å³/atom

a b c (Å): 4.341 4.341 9.732
angles (deg): 90.00 90.00 90.00
Each line ends with the local moment (μB).
Fractional positions:
Ce 0.500 0.000 0.252  0.38
Ce 0.000 0.500 0.748  0.38
Si 0.000 0.000 0.500  -0.01
Si 0.500 0.000 0.873  0.00
Si 0.000 0.500 0.127  0.00
As 0.500 0.500 0.500  -0.01
Pt 0.500 0.500 0.000  -0.01
Pt 0.000 0.000 0.000  -0.01
Pt 0.500 0.000 0.626  -0.01
Pt 0.000 0.500 0.374  -0.01

=====

Record 6
A relaxed structure of KNdTe2Au, computed with GGA-PBE.

Values from the calculation:
Magnetization   0.000 μB/atom
VASP energy   -3.98 eV per atom
Formation energy (no corrections)   -899.0 meV/atom
Symmetry   P2/c (13)
Calculated volume   36.12 Å³/atom

a b c (Å): 4.951 8.567 8.603
angles (deg): 98.22 90.00 90.00
Fractional positions:
K 0.163 0.500 0.750
K 0.837 0.500 0.250
Nd 0.494 0.000 0.250
Nd 0.506 0.000 0.750
Te 0.678 0.744 0.966
Te 0.678 0.256 0.534
Te 0.322 0.744 0.466
Te 0.322 0.256 0.034
Au 0.000 0.000 0.000
Au 0.000 0.000 0.500

=====

Record 7
A relaxed structure of Ce2DyTm, computed with GGA-PBE.

Values from the calculation:
Magnetization   0.000 μB/atom
VASP energy   -5.07 eV per atom
Symmetry   C2/c (15)
Calculated volume   29.19 Å³/atom

a b c (Å): 8.894 6.453 6.538
angles (deg): 60.43 69.83 45.68
Fractional positions:
Ce 0.786 0.199 0.967
Ce 0.214 0.801 0.033
Ce 0.714 0.835 0.967
Ce 0.286 0.165 0.033
Dy 0.000 0.500 0.500
Dy 0.500 0.000 0.500
Tm 0.250 0.714 0.572
Tm 0.750 0.286 0.428

=====

Record 8
A relaxed structure of BaYRh4, computed with GGA-PBE.

Values from the calculation:
Magnetization   0.000 μB/atom
VASP energy   -6.65 eV per atom
Symmetry   F-43m (216)
Calculated volume   19.36 Å³/atom

a b c (Å): 5.476 5.476 5.476
angles (deg): 60.00 60.00 60.00
Fractional positions:
Ba 0.000 0.000 0.000
Rh 0.127 0.624 0.624
Rh 0.624 0.624 0.624
Rh 0.624 0.127 0.624
Rh 0.624 0.624 0.127
Y 0.250 0.250 0.250

=====

Record 9
A relaxed structure of TePt2W, computed with GGA-PBE.

Values from the calculation:
Magnetization   0.000 μB/atom
VASP energy   -7.12 eV per atom
Formation energy (no corrections)   -74.1 meV/atom
Symmetry   Pmmm (47)
Calculated volume   18.66 Å³/atom

a b c (Å): 2.939 2.898 8.767
angles (deg): 90.00 90.00 90.00
Fractional positions:
Pt 0.000 0.250 0.958
Pt 0.000 0.250 0.542
Te 0.500 0.250 0.250
W 0.500 0.750 0.750

=====

Record 10
A relaxed structure of FeHgBiH, computed with GGA-PBE.

Values from the calculation:
Magnetization   0.537 μB/atom
VASP energy   -3.68 eV per atom
Symmetry   Cm (8)
Calculated volume   17.55 Å³/atom

a b c (Å): 3.249 3.249 7.673
angles (deg): 89.75 89.79 60.09
Each line ends with the local moment (μB).
Fractional positions:
Fe 0.127 0.684 0.258  2.27
Hg 0.457 0.013 0.554  0.01
Bi 0.462 0.020 0.981  -0.09
H 0.794 0.350 0.274  -0.03

=====

Record 11
A relaxed structure of ZrTa2Ir2, computed with GGA-PBE.

Values from the calculation:
Magnetization   0.000 μB/atom
VASP energy   -10.42 eV per atom
Symmetry   I4/mmm (139)
Calculated volume   19.90 Å³/atom

a b c (Å): 4.352 4.352 6.089
angles (deg): 69.06 69.06 90.00
Fractional positions:
Ir 0.379 0.379 0.241
Ir 0.621 0.621 0.759
Zr 0.000 0.000 0.000
Ta 0.750 0.250 0.500
Ta 0.250 0.750 0.500

=====

Record 12
A relaxed structure of Rb2PmZrSe4, computed with GGA-PBE.

Values from the calculation:
Magnetization   0.000 μB/atom
VASP energy   -5.14 eV per atom
Formation energy (no corrections)   -1489.2 meV/atom
Symmetry   P2/m (10)
Calculated volume   29.98 Å³/atom

a b c (Å): 4.127 7.215 8.393
angles (deg): 106.31 90.00 90.00
Fractional positions:
Rb 0.500 0.000 0.500
Rb 0.000 0.500 0.500
Pm 0.500 0.500 0.000
Zr 0.000 0.000 0.000
Se 0.500 0.216 0.194
Se 0.500 0.784 0.806
Se 0.000 0.249 0.800
Se 0.000 0.751 0.200

=====

Record 13
A relaxed structure of Rb2CdSn2, computed with GGA-PBE.

Values from the calculation:
Magnetization   0.000 μB/atom
VASP energy   -2.29 eV per atom
Symmetry   C2/c (15)
Calculated volume   39.73 Å³/atom

a b c (Å): 7.717 6.957 8.999
angles (deg): 97.28 90.00 123.68
Fractional positions:
Rb 0.502 0.291 0.128
Rb 0.211 0.709 0.372
Rb 0.498 0.709 0.872
Rb 0.789 0.291 0.628
Cd 0.948 0.000 0.250
Cd 0.052 0.000 0.750
Sn 0.699 0.715 0.492
Sn 0.984 0.285 0.008
Sn 0.301 0.285 0.508
Sn 0.016 0.715 0.992

=====

Record 14
A relaxed structure of TiOsRuS, computed with GGA-PBE.

Values from the calculation:
Magnetization   0.000 μB/atom
VASP energy   -8.45 eV per atom
Formation energy (no corrections)   -319.3 meV/atom
Symmetry   P4mm (99)
Calculated volume   14.23 Å³/atom

a b c (Å): 2.888 2.888 6.825
angles (deg): 90.00 90.00 90.00
Fractional positions:
Ru 0.500 0.500 0.304
S 0.000 0.000 0.566
Os 0.000 0.000 0.066
Ti 0.500 0.500 0.760

=====

Record 15
A relaxed structure of TmZrScRe, computed with GGA-PBE.

Values from the calculation:
Magnetization   0.000 μB/atom
VASP energy   -7.90 eV per atom
Symmetry   F-43m (216)
Calculated volume   21.00 Å³/atom

a b c (Å): 4.916 4.916 4.916
angles (deg): 60.00 60.00 60.00
Fractional positions:
Sc 0.500 0.500 0.500
Re 0.000 0.000 0.000
Tm 0.750 0.750 0.750
Zr 0.250 0.250 0.250

=====

Record 16
A relaxed structure of ReAsW4, computed with GGA-PBE.

Values from the calculation:
Magnetization   0.000 μB/atom
VASP energy   -10.68 eV per atom
Symmetry   F-43m (216)
Calculated volume   17.08 Å³/atom

a b c (Å): 5.252 5.252 5.252
angles (deg): 60.00 60.00 60.00
Fractional positions:
Re 0.000 0.000 0.000
As 0.750 0.750 0.750
W 0.873 0.376 0.376
W 0.376 0.376 0.873
W 0.376 0.873 0.376
W 0.376 0.376 0.376

=====

Record 17
A relaxed structure of Sr4AgBi2Sb2, computed with GGA-PBE.

Values from the calculation:
Magnetization   0.000 μB/atom
VASP energy   -3.56 eV per atom
Formation energy (no corrections)   -713.7 meV/atom
Symmetry   C2/m (12)
Calculated volume   36.40 Å³/atom

a b c (Å): 5.269 8.269 8.269
angles (deg): 65.64 86.91 86.91
Fractional positions:
Sr 0.236 0.618 0.111
Sr 0.764 0.889 0.382
Sr 0.764 0.382 0.889
Sr 0.236 0.111 0.618
Ag 0.500 0.000 0.000
Bi 0.246 0.561 0.561
Bi 0.754 0.439 0.439
Sb 0.252 0.177 0.177
Sb 0.748 0.823 0.823

=====

Record 18
A relaxed structure of InAs3Pd, computed with GGA-PBE.

Values from the calculation:
Magnetization   0.000 μB/atom
VASP energy   -3.93 eV per atom
Symmetry   Pm-3m (221)
Calculated volume   24.13 Å³/atom

a b c (Å): 4.941 4.941 4.941
angles (deg): 90.00 90.00 90.00
Fractional positions:
As 0.000 0.500 0.000
As 0.000 0.000 0.500
As 0.500 0.000 0.000
Pd 0.000 0.000 0.000
In 0.500 0.500 0.500

=====

Record 19
A relaxed structure of DyHfSn2, computed with GGA-PBE.

Values from the calculation:
Magnetization   0.000 μB/atom
VASP energy   -6.00 eV per atom
Symmetry   P4/mmm (123)
Calculated volume   23.97 Å³/atom

a b c (Å): 4.378 4.680 4.680
angles (deg): 90.00 90.00 90.00
Fractional positions:
Hf 0.500 0.000 0.000
Sn 0.000 0.000 0.500
Sn 0.000 0.500 0.000
Dy 0.500 0.500 0.500

=====

Record 20
A relaxed structure of Cu2RhSe, computed with GGA-PBE.

Values from the calculation:
Magnetization   0.152 μB/atom
VASP energy   -4.49 eV per atom
Formation energy (no corrections)   263.0 meV/atom
Symmetry   R-3m (166)
Calculated volume   14.67 Å³/atom

a b c (Å): 8.276 8.276 8.276
angles (deg): 20.12 20.12 20.12
Each line ends with the local moment (μB).
Fractional positions:
Cu 0.000 0.000 0.000  0.03
Cu 0.500 0.500 0.500  0.03
Rh 0.250 0.250 0.250  0.56
Se 0.750 0.750 0.750  0.00

=====

Record 21
A relaxed structure of Tb2Nd2Mg, computed with GGA-PBE.

Values from the calculation:
Magnetization   0.000 μB/atom
VASP energy   -4.10 eV per atom
Symmetry   I4/mmm (139)
Calculated volume   31.76 Å³/atom

a b c (Å): 3.639 3.639 12.265
angles (deg): 98.53 98.53 90.00
Fractional positions:
Tb 0.802 0.802 0.604
Tb 0.198 0.198 0.396
Nd 0.593 0.593 0.187
Nd 0.407 0.407 0.813
Mg 0.000 0.000 0.000

=====

Record 22
A relaxed structure of CaLaTc2, computed with GGA-PBE.

Values from the calculation:
Magnetization   0.000 μB/atom
VASP energy   -6.26 eV per atom
Symmetry   Cmmm (65)
Calculated volume   20.65 Å³/atom

a b c (Å): 3.124 3.124 9.257
angles (deg): 90.00 90.00 113.87
Fractional positions:
Ca 0.500 0.500 0.250
Tc 0.000 0.000 0.987
Tc 0.000 0.000 0.513
La 0.500 0.500 0.750

=====

Record 23
A relaxed structure of YIn2NiHg, computed with GGA-PBE.

Values from the calculation:
Magnetization   0.000 μB/atom
VASP energy   -3.82 eV per atom
Symmetry   P4/mmm (123)
Calculated volume   25.15 Å³/atom

a b c (Å): 4.929 4.929 5.175
angles (deg): 90.00 90.00 90.00
Fractional positions:
Y 0.000 0.000 0.500
Ni 0.000 0.000 0.000
Hg 0.500 0.500 0.500
In 0.000 0.500 0.000
In 0.500 0.000 0.000